Ti3Mn2CuP6O24 | GGA+U | relaxed

a = 8.6596 Å, b = 8.6596 Å, c = 21.1126 Å
α = 90.00°, β = 90.00°, γ = 120.00°
With the nearest neighbours (Å) after each atom.
Space group R3 (No. 146, hexagonal axes)
Unique sites:
Ti 0.0000 0.0000 0.0000 (multiplicity 3)  6 O 1.90-2.05
Ti 0.0000 0.0000 0.2100 (multiplicity 3)  6 O 1.87-2.03
Ti 0.0000 0.0000 0.5039 (multiplicity 3)  3 O 1.88
Mn 0.0000 0.0000 0.3554 (multiplicity 3)  6 O 2.25-2.29
Mn 0.0000 0.0000 0.8519 (multiplicity 3)  6 O 2.17-2.30
Cu 0.0000 0.0000 0.7108 (multiplicity 3)  6 O 1.98-2.19
P 0.0006 0.7059 0.6087 (multiplicity 9)  4 O 1.50-1.57
P 0.0037 0.2941 0.1061 (multiplicity 9)  4 O 1.52-1.56
O 0.0040 0.1908 0.0459 (multiplicity 9)  1 P 1.56
O 0.0041 0.8272 0.2740 (multiplicity 9)  1 P 1.57
O 0.0239 0.1962 0.1642 (multiplicity 9)  1 P 1.55
O 0.0306 0.1976 0.7820 (multiplicity 9)  1 P 1.52
O 0.1327 0.6774 0.3363 (multiplicity 9)  1 P 1.50
O 0.1472 0.6676 0.2156 (multiplicity 9)  1 P 1.57
O 0.1715 0.4832 0.1011 (multiplicity 9)  1 P 1.56
O 0.1735 0.6929 0.6009 (multiplicity 9)  1 P 1.57

* uncorrected energy: -7.69 eV per atom
* ρ: 3.2 g/cm3
* crystal system: trigonal